Entry P
SrNd3Se4: relaxed, PBE-GGA.

a b c (Å): 4.289 6.011 8.590
angles (deg): 90.00 90.00 90.00
Space group Pmmm (No. 47)
Symmetry-distinct sites (fractional):
Sr 0.000 0.000 0.000
Nd 0.000 0.000 0.500
Nd 0.500 0.500 0.265
Se 0.000 0.500 0.000
Se 0.000 0.500 0.500
Se 0.500 0.000 0.254

Results
mass density = 6.27 g cm⁻³
size of the total moment = 0.00 μB per formula unit
density of states at the Fermi level = 0.32 states/eV/atom
V = 27.69 Å³ per atom


Entry Q
SrNd3Se4: relaxed, PBE-GGA.

a b c (Å): 8.602 12.077 4.247
angles (deg): 90.00 90.00 90.00
Space group Cmmm (No. 65)
Symmetry-distinct sites (fractional):
Sr 0.000 0.000 0.000
Nd 0.000 0.500 0.000
Nd 0.250 0.250 0.500
Se 0.000 0.251 0.000
Se 0.246 0.500 0.500

Results
mass density = 6.29 g cm⁻³
size of the total moment = 0.00 μB per formula unit
density of states at the Fermi level = 0.41 states/eV/atom
V = 27.58 Å³ per atom


In terms of stability, entry P leads; the second structure lies 0.006 eV/atom higher.


Entry P
SrNdSe2: relaxed, PBE-GGA.

a b c (Å): 4.2538 4.2538 14.6644
angles (deg): 90.00 90.00 120.00
Space group P6_3/mmc (No. 194)
Symmetry-distinct sites (fractional):
Sr 0.3333 0.6667 0.2500
Nd 0.0000 0.0000 0.0000
Se 0.3333 0.6667 0.6187

Results
mass density = 5.63 g cm⁻³
size of the total moment = 0.00 μB per formula unit
density of states at the Fermi level = 0.31 states/eV/atom
V = 28.73 Å³ per atom


Entry Q
SrNdSe2: relaxed, PBE-GGA.

a b c (Å): 4.2843 4.2843 21.5872
angles (deg): 90.00 90.00 120.00
Space group R-3m (No. 166, hexagonal axes)
Symmetry-distinct sites (fractional):
Sr 0.0000 0.0000 0.0000
Nd 0.0000 0.0000 0.5000
Se 0.0000 0.0000 0.2472

Results
mass density = 5.66 g cm⁻³
size of the total moment = 0.00 μB per formula unit
density of states at the Fermi level = 0.39 states/eV/atom
V = 28.60 Å³ per atom


Entry R
SrNdSe2: relaxed, PBE-GGA.

a b c (Å): 4.2174 4.2174 22.5956
angles (deg): 90.00 90.00 120.00
Space group R3m (No. 160, hexagonal axes)
Symmetry-distinct sites (fractional):
Sr 0.0000 0.0000 0.0000
Nd 0.0000 0.0000 0.8266
Se 0.0000 0.0000 0.2415
Se 0.0000 0.0000 0.4164

Results
mass density = 5.58 g cm⁻³
size of the total moment = 0.00 μB per formula unit
density of states at the Fermi level = 0.57 states/eV/atom
V = 29.00 Å³ per atom


In terms of stability, entry Q leads; the second structure lies 0.032 eV/atom higher.


Entry P
Sr2NdSe3: relaxed, PBE-GGA.

a b c (Å): 4.341 6.166 13.133
angles (deg): 90.00 90.00 90.00
Space group Immm (No. 71)
Symmetry-distinct sites (fractional):
Sr 0.000 0.000 0.168
Nd 0.000 0.000 0.500
Se 0.000 0.500 0.160
Se 0.000 0.500 0.500

Results
mass density = 5.26 g cm⁻³
size of the total moment = 0.00 μB per formula unit
density of states at the Fermi level = 0.34 states/eV/atom
V = 29.29 Å³ per atom


Entry Q
Sr2NdSe3: relaxed, PBE-GGA.

a b c (Å): 7.537 13.043 7.582
angles (deg): 90.00 109.34 90.00
Space group C2/m (No. 12)
Symmetry-distinct sites (fractional):
Sr 0.000 0.000 0.000
Sr 0.000 0.165 0.500
Sr 0.000 0.500 0.500
Nd 0.000 0.333 0.000
Se 0.241 0.500 0.241
Se 0.249 0.330 0.757

Results
mass density = 5.26 g cm⁻³
size of the total moment = 0.00 μB per formula unit
density of states at the Fermi level = 0.25 states/eV/atom
V = 29.30 Å³ per atom


In terms of stability, entry Q leads; the second structure lies 0.005 eV/atom higher.


Entry P
Tb4NdSe5: relaxed, PBE-GGA.

a b c (Å): 4.118 4.118 29.248
angles (deg): 90.00 90.00 90.00
Space group I4/mmm (No. 139)
Symmetry-distinct sites (fractional):
Tb 0.000 0.000 0.098
Tb 0.000 0.000 0.296
Nd 0.000 0.000 0.500
Se 0.000 0.000 0.000
Se 0.000 0.000 0.198
Se 0.000 0.000 0.397

Results
mass density = 7.86 g cm⁻³
size of the total moment = 0.00 μB per formula unit
density of states at the Fermi level = 0.43 states/eV/atom
V = 24.80 Å³ per atom


Entry Q
Tb4NdSe5: relaxed, PBE-GGA.

a b c (Å): 13.703 4.119 10.099
angles (deg): 90.00 119.65 90.00
Space group C2/m (No. 12)
Symmetry-distinct sites (fractional):
Tb 0.098 0.000 0.396
Tb 0.204 0.500 0.799
Nd 0.000 0.500 0.000
Se 0.000 0.500 0.500
Se 0.105 0.000 0.896
Se 0.203 0.500 0.308

Results
mass density = 7.88 g cm⁻³
size of the total moment = 0.00 μB per formula unit
density of states at the Fermi level = 0.46 states/eV/atom
V = 24.77 Å³ per atom


In terms of stability, entry Q leads; the second structure lies 0.008 eV/atom higher.


Entry P
Tb2Nd2Se5: relaxed, PBE-GGA.

a b c (Å): 17.950 8.324 7.208
angles (deg): 90.00 90.00 90.00
Space group Ima2 (No. 46)
Symmetry-distinct sites (fractional):
Tb 0.000 0.000 0.000
Tb 0.250 0.103 0.939
Nd 0.094 0.570 0.968
Se 0.033 0.210 0.702
Se 0.147 0.608 0.580
Se 0.250 0.075 0.554

Results
mass density = 6.17 g cm⁻³
size of the total moment = 0.00 μB per formula unit
density of states at the Fermi level = 0.39 states/eV/atom
V = 29.92 Å³ per atom


Entry Q
Tb2Nd2Se5: relaxed, PBE-GGA.

a b c (Å): 14.882 7.814 7.784
angles (deg): 90.00 90.00 90.00
Space group Cmce (No. 64)
Symmetry-distinct sites (fractional):
Tb 0.000 0.151 0.157
Nd 0.198 0.000 0.500
Se 0.000 0.000 0.500
Se 0.136 0.158 0.846

Results
mass density = 7.35 g cm⁻³
size of the total moment = 0.00 μB per formula unit
density of states at the Fermi level = 0.73 states/eV/atom
V = 25.14 Å³ per atom


In terms of stability, entry Q leads; the second structure lies 0.128 eV/atom higher.


Entry P
Tb2NdSe: relaxed, PBE-GGA.

a b c (Å): 3.8288 3.8288 28.7607
angles (deg): 90.00 90.00 120.00
Space group R3m (No. 160, hexagonal axes)
Symmetry-distinct sites (fractional):
Tb 0.0000 0.0000 0.0000
Tb 0.0000 0.0000 0.2050
Nd 0.0000 0.0000 0.4354
Se 0.0000 0.0000 0.6025

Results
mass density = 7.38 g cm⁻³
size of the total moment = 0.55 μB per formula unit
density of states at the Fermi level = 0.97 states/eV/atom
V = 30.43 Å³ per atom


Entry Q
Tb2NdSe: relaxed, PBE-GGA.

a b c (Å): 3.7483 3.7483 31.4319
angles (deg): 90.00 90.00 120.00
Space group R-3m (No. 166, hexagonal axes)
Symmetry-distinct sites (fractional):
Tb 0.0000 0.0000 0.1094
Nd 0.0000 0.0000 0.0000
Se 0.0000 0.0000 0.5000

Results
mass density = 7.05 g cm⁻³
size of the total moment = 0.52 μB per formula unit
density of states at the Fermi level = 1.34 states/eV/atom
V = 31.87 Å³ per atom


In terms of stability, entry P leads; the second structure lies 0.226 eV/atom higher.


Entry P
Nd3Te2Se2: relaxed, PBE-GGA.

a b c (Å): 14.782 4.423 7.510
angles (deg): 90.00 104.37 90.00
Space group C2/m (No. 12)
Symmetry-distinct sites (fractional):
Nd 0.000 0.000 0.000
Nd 0.250 0.000 0.739
Te 0.116 0.500 0.847
Se 0.137 0.000 0.358

Results
mass density = 5.91 g cm⁻³
size of the total moment = 0.00 μB per formula unit
density of states at the Fermi level = 0.29 states/eV/atom
V = 33.98 Å³ per atom


Entry Q
Nd3Te2Se2: relaxed, PBE-GGA.

a b c (Å): 17.273 4.261 6.456
angles (deg): 90.00 95.02 90.00
Space group C2/m (No. 12)
Symmetry-distinct sites (fractional):
Nd 0.000 0.000 0.000
Nd 0.183 0.000 0.733
Te 0.177 0.000 0.236
Se 0.068 0.500 0.752

Results
mass density = 5.93 g cm⁻³
size of the total moment = 0.00 μB per formula unit
density of states at the Fermi level = 0.36 states/eV/atom
V = 33.81 Å³ per atom


In terms of stability, entry P leads; the second structure lies 0.076 eV/atom higher.


Entry P
Nd4TeSe2: relaxed, PBE-GGA.

a b c (Å): 4.166 13.912 14.432
angles (deg): 90.00 90.00 90.00
Space group Cmcm (No. 63)
Symmetry-distinct sites (fractional):
Nd 0.000 0.000 0.000
Nd 0.000 0.277 0.121
Nd 0.000 0.430 0.750
Te 0.000 0.101 0.750
Se 0.000 0.362 0.561

Results
mass density = 6.85 g cm⁻³
size of the total moment = 0.00 μB per formula unit
density of states at the Fermi level = 0.69 states/eV/atom
V = 29.87 Å³ per atom


Entry Q
Nd4TeSe2: relaxed, PBE-GGA.

a b c (Å): 5.0352 5.0352 32.6713
angles (deg): 90.00 90.00 120.00
Space group R-3m (No. 166, hexagonal axes)
Symmetry-distinct sites (fractional):
Nd 0.0000 0.0000 0.1204
Nd 0.0000 0.0000 0.2965
Te 0.0000 0.0000 0.0000
Se 0.0000 0.0000 0.2095

Results
mass density = 5.99 g cm⁻³
size of the total moment = 0.00 μB per formula unit
density of states at the Fermi level = 0.66 states/eV/atom
V = 34.16 Å³ per atom


In terms of stability, entry P leads; the second structure lies 0.220 eV/atom higher.


Entry P
Nd2TeSe2: relaxed, PBE-GGA.

a b c (Å): 5.995 4.591 11.891
angles (deg): 90.00 103.01 90.00
Space group P2_1/m (No. 11)
Symmetry-distinct sites (fractional):
Nd 0.104 0.250 0.175
Nd 0.291 0.250 0.593
Te 0.279 0.750 0.051
Se 0.210 0.750 0.402
Se 0.333 0.750 0.738

Results
mass density = 5.98 g cm⁻³
size of the total moment = 0.00 μB per formula unit
density of states at the Fermi level = 0.10 states/eV/atom
V = 31.89 Å³ per atom


Entry Q
Nd2TeSe2: relaxed, PBE-GGA.

a b c (Å): 5.393 8.037 8.623
angles (deg): 84.07 71.80 70.50
Space group P-1 (No. 2)
Symmetry-distinct sites (fractional):
Nd 0.006 0.489 0.250
Nd 0.244 0.011 0.250
Te 0.375 0.750 0.750
Se 0.027 0.750 0.447
Se 0.277 0.250 0.946

Results
mass density = 5.70 g cm⁻³
size of the total moment = 0.00 μB per formula unit
density of states at the Fermi level = 0.34 states/eV/atom
V = 33.47 Å³ per atom


In terms of stability, entry P leads; the second structure lies 0.153 eV/atom higher.


Entry P
Nd2ThSe4: relaxed, PBE-GGA.

a b c (Å): 4.114 13.975 13.978
angles (deg): 90.00 90.00 90.00
Space group Cmcm (No. 63)
Symmetry-distinct sites (fractional):
Nd 0.000 0.134 0.069
Th 0.000 0.372 0.250
Se 0.000 0.023 0.250
Se 0.000 0.222 0.627
Se 0.000 0.500 0.000

Results
mass density = 6.91 g cm⁻³
size of the total moment = 0.00 μB per formula unit
density of states at the Fermi level = 0.55 states/eV/atom
V = 28.70 Å³ per atom


Entry Q
Nd2ThSe4: relaxed, PBE-GGA.

a b c (Å): 8.421 8.450 11.730
angles (deg): 90.00 90.00 90.00
Space group Imma (No. 74)
Symmetry-distinct sites (fractional):
Nd 0.000 0.000 0.000
Nd 0.250 0.250 0.250
Th 0.000 0.000 0.500
Se 0.000 0.000 0.253
Se 0.248 0.250 0.508

Results
mass density = 6.66 g cm⁻³
size of the total moment = 0.00 μB per formula unit
density of states at the Fermi level = 0.43 states/eV/atom
V = 29.81 Å³ per atom


In terms of stability, entry Q leads; the second structure lies 0.052 eV/atom higher.


Entry P
Nd2ThSe3: relaxed, PBE-GGA.

a b c (Å): 4.223 5.972 12.651
angles (deg): 90.00 90.00 90.00
Space group Immm (No. 71)
Symmetry-distinct sites (fractional):
Nd 0.000 0.000 0.169
Th 0.000 0.000 0.500
Se 0.000 0.500 0.165
Se 0.000 0.500 0.500

Results
mass density = 7.88 g cm⁻³
size of the total moment = 0.00 μB per formula unit
density of states at the Fermi level = 0.74 states/eV/atom
V = 26.59 Å³ per atom


Entry Q
Nd2ThSe3: relaxed, PBE-GGA.

a b c (Å): 4.1295 4.1295 21.6575
angles (deg): 90.00 90.00 120.00
Space group P6_3/mmc (No. 194)
Symmetry-distinct sites (fractional):
Nd 0.3333 0.6667 0.0825
Th 0.0000 0.0000 0.2500
Se 0.0000 0.0000 0.0000
Se 0.3333 0.6667 0.6652

Results
mass density = 7.86 g cm⁻³
size of the total moment = 0.00 μB per formula unit
density of states at the Fermi level = 0.65 states/eV/atom
V = 26.65 Å³ per atom


In terms of stability, entry P leads; the second structure lies 0.010 eV/atom higher.